Entry 1:
# Mg2TaCl (GGA-PBE, relaxed)
# theoretical density: 5.7 g/cm³
# crystal system: orthorhombic
# formation energy from raw total energies: -0.219 eV per atom
# offset from the most stable computed form: 37 meV per atom
# electronic total energy: -4.441 eV/atom
data_Mg2TaCl
_chemical_formula_sum 'Mg2 Ta1 Cl1'
_symmetry_space_group_name_H-M 'P 1'
_symmetry_Int_Tables_number 1
_symmetry_space_group_name_Hall 'P 1'
_cell_length_a 3.053
_cell_length_b 3.053
_cell_length_c 8.416
_cell_angle_alpha 90.00
_cell_angle_beta 90.00
_cell_angle_gamma 97.78
loop_
_atom_site_label
_atom_site_type_symbol
_atom_site_fract_x
_atom_site_fract_y
_atom_site_fract_z
Cl1 Cl 0.500 0.500 0.750
Mg1 Mg 0.000 0.000 0.996
Mg2 Mg 0.000 0.000 0.504
Ta1 Ta 0.500 0.500 0.250



Entry 2:
# Mg2Ta2Cl (GGA-PBE, relaxed)
# theoretical density: 6.2 g/cm³
# crystal system: tetragonal
# formation energy from raw total energies: 0.261 eV per atom
# offset from the most stable computed form: 0 meV per atom
# electronic total energy: -5.487 eV/atom
data_Mg2Ta2Cl
_chemical_formula_sum 'Mg2 Ta2 Cl1'
_symmetry_space_group_name_H-M 'P 1'
_symmetry_Int_Tables_number 1
_symmetry_space_group_name_Hall 'P 1'
_cell_length_a 3.701
_cell_length_b 3.701
_cell_length_c 9.096
_cell_angle_alpha 78.26
_cell_angle_beta 78.26
_cell_angle_gamma 90.00
loop_
_atom_site_label
_atom_site_type_symbol
_atom_site_fract_x
_atom_site_fract_y
_atom_site_fract_z
Mg1 Mg 0.388 0.388 0.224
Mg2 Mg 0.612 0.612 0.776
Cl1 Cl 0.000 0.000 0.000
Ta1 Ta 0.750 0.250 0.500
Ta2 Ta 0.250 0.750 0.500



Entry 3:
# Mg2TaCl (GGA-PBE, relaxed)
# theoretical density: 5.4 g/cm³
# crystal system: tetragonal
# formation energy from raw total energies: 0.518 eV per atom
# offset from the most stable computed form: 774 meV per atom
# electronic total energy: -3.704 eV/atom
data_Mg2TaCl
_chemical_formula_sum 'Mg4 Ta2 Cl2'
_symmetry_space_group_name_H-M 'P 1'
_symmetry_Int_Tables_number 1
_symmetry_space_group_name_Hall 'P 1'
_cell_length_a 7.528
_cell_length_b 7.528
_cell_length_c 6.042
_cell_angle_alpha 51.46
_cell_angle_beta 51.46
_cell_angle_gamma 90.00
loop_
_atom_site_label
_atom_site_type_symbol
_atom_site_fract_x
_atom_site_fract_y
_atom_site_fract_z
Mg1 Mg 0.584 0.125 0.250
Mg2 Mg 0.166 0.625 0.250
Mg3 Mg 0.375 0.416 0.750
Mg4 Mg 0.875 0.834 0.750
Cl1 Cl 0.500 0.500 0.000
Cl2 Cl 0.250 0.750 0.500
Ta1 Ta 0.000 0.000 0.000
Ta2 Ta 0.750 0.250 0.500



Entry 4:
# Mg2TaCl (GGA-PBE, relaxed)
# theoretical density: 5.6 g/cm³
# crystal system: tetragonal
# formation energy from raw total energies: -0.218 eV per atom
# offset from the most stable computed form: 38 meV per atom
# electronic total energy: -4.440 eV/atom
data_Mg2TaCl
_chemical_formula_sum 'Mg2 Ta1 Cl1'
_symmetry_space_group_name_H-M 'P 1'
_symmetry_Int_Tables_number 1
_symmetry_space_group_name_Hall 'P 1'
_cell_length_a 3.060
_cell_length_b 3.060
_cell_length_c 8.327
_cell_angle_alpha 90.00
_cell_angle_beta 90.00
_cell_angle_gamma 90.00
loop_
_atom_site_label
_atom_site_type_symbol
_atom_site_fract_x
_atom_site_fract_y
_atom_site_fract_z
Cl1 Cl 0.500 0.500 0.750
Mg1 Mg 0.000 0.000 0.998
Mg2 Mg 0.000 0.000 0.502
Ta1 Ta 0.500 0.500 0.250



Entry 5:
# Mg2TaCl (GGA-PBE, relaxed)
# theoretical density: 5.6 g/cm³
# crystal system: tetragonal
# formation energy from raw total energies: 0.584 eV per atom
# offset from the most stable computed form: 840 meV per atom
# electronic total energy: -3.638 eV/atom
data_Mg2TaCl
_chemical_formula_sum 'Mg2 Ta1 Cl1'
_symmetry_space_group_name_H-M 'P 1'
_symmetry_Int_Tables_number 1
_symmetry_space_group_name_Hall 'P 1'
_cell_length_a 5.643
_cell_length_b 5.643
_cell_length_c 5.643
_cell_angle_alpha 138.47
_cell_angle_beta 138.47
_cell_angle_gamma 60.19
loop_
_atom_site_label
_atom_site_type_symbol
_atom_site_fract_x
_atom_site_fract_y
_atom_site_fract_z
Cl1 Cl 0.750 0.250 0.500
Mg1 Mg 0.000 0.000 0.000
Mg2 Mg 0.500 0.500 0.000
Ta1 Ta 0.250 0.750 0.500



Entry 6:
# Mg2TaCl (GGA-PBE, relaxed)
# theoretical density: 5.5 g/cm³
# crystal system: tetragonal
# formation energy from raw total energies: 0.540 eV per atom
# offset from the most stable computed form: 796 meV per atom
# electronic total energy: -3.682 eV/atom
data_Mg2TaCl
_chemical_formula_sum 'Mg2 Ta1 Cl1'
_symmetry_space_group_name_H-M 'P 1'
_symmetry_Int_Tables_number 1
_symmetry_space_group_name_Hall 'P 1'
_cell_length_a 5.561
_cell_length_b 5.561
_cell_length_c 5.561
_cell_angle_alpha 136.43
_cell_angle_beta 136.43
_cell_angle_gamma 63.32
loop_
_atom_site_label
_atom_site_type_symbol
_atom_site_fract_x
_atom_site_fract_y
_atom_site_fract_z
Cl1 Cl 0.750 0.250 0.500
Mg1 Mg 0.000 0.000 0.000
Mg2 Mg 0.250 0.750 0.500
Ta1 Ta 0.500 0.500 0.000



Entry 7:
# Mg2TaCl (GGA-PBE, relaxed)
# theoretical density: 5.7 g/cm³
# crystal system: trigonal
# formation energy from raw total energies: -0.256 eV per atom
# offset from the most stable computed form: 0 meV per atom
# electronic total energy: -4.478 eV/atom
data_Mg2TaCl
_chemical_formula_sum 'Mg2 Ta1 Cl1'
_symmetry_space_group_name_H-M 'P 1'
_symmetry_Int_Tables_number 1
_symmetry_space_group_name_Hall 'P 1'
_cell_length_a 8.924
_cell_length_b 8.924
_cell_length_c 8.924
_cell_angle_alpha 20.60
_cell_angle_beta 20.60
_cell_angle_gamma 20.60
loop_
_atom_site_label
_atom_site_type_symbol
_atom_site_fract_x
_atom_site_fract_y
_atom_site_fract_z
Cl1 Cl 0.750 0.750 0.750
Mg1 Mg 0.006 0.006 0.006
Mg2 Mg 0.494 0.494 0.494
Ta1 Ta 0.250 0.250 0.250



Entry 8:
# Mg2TaCl (GGA-PBE, relaxed)
# theoretical density: 5.5 g/cm³
# crystal system: cubic
# formation energy from raw total energies: 0.679 eV per atom
# offset from the most stable computed form: 935 meV per atom
# electronic total energy: -3.543 eV/atom
data_Mg2TaCl
_chemical_formula_sum 'Mg2 Ta1 Cl1'
_symmetry_space_group_name_H-M 'P 1'
_symmetry_Int_Tables_number 1
_symmetry_space_group_name_Hall 'P 1'
_cell_length_a 4.844
_cell_length_b 4.844
_cell_length_c 4.844
_cell_angle_alpha 60.00
_cell_angle_beta 60.00
_cell_angle_gamma 60.00
loop_
_atom_site_label
_atom_site_type_symbol
_atom_site_fract_x
_atom_site_fract_y
_atom_site_fract_z
Cl1 Cl 0.500 0.500 0.500
Mg1 Mg 0.000 0.000 0.000
Mg2 Mg 0.250 0.250 0.250
Ta1 Ta 0.750 0.750 0.750